[1]
The following is a PBE calculation of a relaxed structure of Pm6GaTe12, from Alexandria via LeMat-Bulk.

The structure in POSCAR format:
```
Pm6GaTe12
1.0
6.7166 3.8778 4.3187
-6.7166 3.8778 4.3187
0.0000 -7.7557 4.3187
Pm Ga Te
6 1 12
direct
0.1469 0.8241 0.6365
0.1759 0.3634 0.8531
0.3634 0.8531 0.1759
0.6365 0.1469 0.8241
0.8241 0.6365 0.1469
0.8531 0.1759 0.3634
0.5000 0.5000 0.5000
0.0720 0.6831 0.9256
0.0744 0.9280 0.3169
0.1635 0.4614 0.5118
0.3169 0.0744 0.9280
0.4614 0.5118 0.1635
0.4882 0.8365 0.5386
0.5118 0.1635 0.4614
0.5386 0.4882 0.8365
0.6831 0.9256 0.0720
0.8365 0.5386 0.4882
0.9256 0.0720 0.6831
0.9280 0.3169 0.0744
```

## Properties
**Space-group type**: No. 148
**VASP energy**: -4.72 eV/atom

***

[2]
The following is a PBE calculation of a relaxed structure of TbBi2Pb, from Alexandria via LeMat-Bulk.

The structure in POSCAR format:
```
TbBi2Pb
1.0
6.9141 0.0000 0.0000
0.0000 8.3590 0.0000
0.0000 0.0000 4.2108
Tb Bi Pb
2 4 2
direct
0.0000 0.0000 0.0000
0.5000 0.5000 0.0000
0.2500 0.2500 0.5000
0.2500 0.7500 0.5000
0.7500 0.2500 0.5000
0.7500 0.7500 0.5000
0.0000 0.5000 0.0000
0.5000 0.0000 0.0000
```

## Properties
**Space-group type**: No. 65
**Calculated formation energy**: -0.3565 eV/atom